# TiPdAu2

TiPdAu2 after structural relaxation (PBE, Alexandria via LeMat-Bulk).

SG: R-3m (166)

Cell lengths 2.9351, 2.9351, 9.2681 Å; angles 80.89, 80.89, 60.00 degrees
With the nearest neighbours (Å) after each atom.
Positions (direct):
Ti  0.0000  0.0000  0.0000  6 Au 2.80, 6 Ti 2.94
Au  0.2518  0.2518  0.2446  3 Ti 2.80, 3 Pd 2.88, 6 Au 2.94
Au  0.7482  0.7482  0.7554  3 Ti 2.80, 3 Pd 2.88, 6 Au 2.94
Pd  0.5000  0.5000  0.5000  6 Au 2.88, 6 Pd 2.94

# Ti2Pd2Au

Ti2Pd2Au after structural relaxation (PBE, Alexandria via LeMat-Bulk).

excess energy over the best structure of this formula in the dataset: 142.6 meV per atom
SG: P4/mbm (127)

Cell lengths 7.7160, 7.7160, 2.8237 Å; angles 90.00, 90.00, 90.00 degrees
With the nearest neighbours (Å) after each atom.
Positions (direct):
Pd  0.6357  0.8643  0.5000  6 Ti 2.66-2.67, 3 Pd 2.82-2.96
Ti  0.8423  0.6577  0.0000  6 Pd 2.66-2.67, 2 Ti 2.82, 2 Au 2.91
Pd  0.1357  0.6357  0.5000  6 Ti 2.66-2.67, 3 Pd 2.82-2.96
Pd  0.3643  0.1357  0.5000  6 Ti 2.66-2.67, 3 Pd 2.82-2.96
Pd  0.8643  0.3643  0.5000  6 Ti 2.66-2.67, 3 Pd 2.82-2.96
Ti  0.1577  0.3423  0.0000  6 Pd 2.66-2.67, 2 Ti 2.82, 2 Au 2.91
Ti  0.3423  0.8423  0.0000  6 Pd 2.66-2.67, 2 Ti 2.82, 2 Au 2.91
Au  0.5000  0.5000  0.0000  2 Au 2.82, 4 Ti 2.91
Ti  0.6577  0.1577  0.0000  6 Pd 2.66-2.67, 2 Ti 2.82, 2 Au 2.91
Au  0.0000  0.0000  0.0000  2 Au 2.82, 4 Ti 2.91

no.,DFT formation energy (eV per atom),spin magnetization (μB/f.u.),E_tot (eV per atom)
1,-0.158,0.0,-5.069
2,-0.334,0.0,-6.224